# GGA-PBE TlFeBr2Cl, optimized geometry
# **E**: -3.8010 eV/atom
# **ΔE to the lowest computed polymorph**: 0.0 meV per atom
# **N(E_F)**: 4.17 states/eV/f.u.
# **V**: 136.0 Å³/f.u.
data_TlFeBr2Cl
_chemical_formula_sum 'Tl1 Fe1 Br2 Cl1'
_symmetry_space_group_name_H-M 'P 4/m m m'
_symmetry_Int_Tables_number 123
_symmetry_space_group_name_Hall '-P 4 2'
_cell_length_a 5.3270
_cell_length_b 5.3270
_cell_length_c 4.7942
_cell_angle_alpha 90.00
_cell_angle_beta 90.00
_cell_angle_gamma 90.00
loop_
_atom_site_label
_atom_site_type_symbol
_atom_site_fract_x
_atom_site_fract_y
_atom_site_fract_z
Tl1 Tl 0.0000 0.0000 0.0000
Fe1 Fe 0.5000 0.5000 0.5000
Br1 Br 0.0000 0.5000 0.5000
Cl1 Cl 0.5000 0.5000 0.0000